1.
Entry from Alexandria: a geometry-optimized Pm3Ni4Ir4 structure (PBE).

Cell lengths 6.5006, 6.5006, 6.5006 Å; angles 109.47, 109.47, 109.47 degrees
Atoms (fractional coordinates):
Ir 0.0000 0.2485 0.0000
Ni 0.0000 0.6028 0.0000
Ni 0.6028 0.0000 0.0000
Pm 0.0000 0.5000 0.5000
Ni 0.3972 0.3972 0.3972
Ir 0.7515 0.7515 0.7515
Pm 0.5000 0.0000 0.5000
Ir 0.2485 0.0000 0.0000
Pm 0.5000 0.5000 0.0000
Ir 0.0000 0.0000 0.2485
Ni 0.0000 0.0000 0.6028

---

2.
Entry from Alexandria: a geometry-optimized Pm2NiIr structure (PBE).

Cell lengths 3.5640, 4.9083, 4.9083 Å; angles 90.00, 90.00, 90.00 degrees
Atoms (fractional coordinates):
Ir 0.5000 0.5000 0.5000
Pm 0.0000 0.0000 0.5000
Ni 0.5000 0.0000 0.0000
Pm 0.0000 0.5000 0.0000

Calculated values
The calculation puts the energy above the most stable polymorph in this dataset at 92.7 meV/atom.

---

no.,theoretical density (g cm⁻³),formation enthalpy at 0 K (meV/atom)
1,11.30,-226
2,10.46,-464